A geometry-optimized LaSn3Ru structure. Source: the Alexandria database, functional PBE.

M_tot: 0.00 μB per cell
DFT formation energy: -0.442 eV per atom

a = 6.888 Å, b = 6.053 Å, c = 6.252 Å
α = 90.00°, β = 90.00°, γ = 90.00°
Space group Pmn2_1 (No. 31)
Unique sites:
La 0.000 0.136 0.000
Sn 0.000 0.892 0.537
Sn 0.240 0.342 0.436
Ru 0.000 0.607 0.232

=====

A geometry-optimized Nd4P2Se structure. Source: the Alexandria database, functional PBE.

M_tot: 3.93 μB per cell
formation energy without anion corrections: -32.6 kcal/mol of atoms

a = 4.1191 Å, b = 4.1191 Å, c = 40.7778 Å
α = 90.00°, β = 90.00°, γ = 120.00°
Space group R-3m (No. 166, hexagonal axes)
Unique sites:
Nd 0.0000 0.0000 0.1263
Nd 0.0000 0.0000 0.2869
P 0.0000 0.0000 0.4198
Se 0.0000 0.0000 0.0000

=====

A geometry-optimized SrLa2Al2 structure. Source: the Alexandria database, functional PBE.

M_tot: 0.00 μB per cell
distance to the lowest polymorph of the same formula: 0.18 eV per formula unit
DFT formation energy: -0.166 eV per atom

a = 9.295 Å, b = 9.295 Å, c = 3.543 Å
α = 90.00°, β = 90.00°, γ = 90.00°
Space group P4/mbm (No. 127)
Unique sites:
Sr 0.000 0.000 0.000
La 0.119 0.381 0.000
Al 0.175 0.675 0.500

=====

A geometry-optimized InAsIrBr2 structure. Source: the Alexandria database, functional PBE.

M_tot: 1.61 μB per cell
distance to the lowest polymorph of the same formula: 5.61 eV per formula unit
formation energy without anion corrections: 27.6 kcal/mol of atoms

a = 5.258 Å, b = 5.258 Å, c = 5.615 Å
α = 90.00°, β = 90.00°, γ = 90.00°
Space group P4/mmm (No. 123)
Unique sites:
In 0.000 0.000 0.000
As 0.000 0.000 0.500
Ir 0.500 0.500 0.500
Br 0.000 0.500 0.000

=====

A geometry-optimized CsTlPb3 structure. Source: the Alexandria database, functional PBE.

M_tot: 0.00 μB per cell
distance to the lowest polymorph of the same formula: 0.00 eV per formula unit
DFT formation energy: -0.105 eV per atom

a = 7.335 Å, b = 7.346 Å, c = 8.147 Å
α = 90.00°, β = 116.66°, γ = 90.00°
Space group Cm (No. 8)
Unique sites:
Cs 0.000 0.000 0.000
Tl 0.100 0.500 0.225
Pb 0.392 0.000 0.761
Pb 0.498 0.262 0.497